Entry from Alexandria via LeMat-Bulk: a geometry-optimized CuAu8 structure (PBEsol).

Computed properties:
ΔH_f (0 K): -7 meV per atom
M_tot: 0.00 μB per formula unit
Density of states at the Fermi level: 0.265 states/eV/atom

Unit cell a=3.9988 b=6.3991 c=6.3991 alpha=84.40 beta=71.79 gamma=71.79
Last column: nearest neighbours and their distance in Å.
Element x y z (fractional)
1 Au 0.0000 0.6707 0.3293  11 Au 2.83-2.93, 1 Cu 2.83
2 Au 0.0000 0.3293 0.6707  11 Au 2.83-2.93, 1 Cu 2.83
3 Au 0.6707 0.3293 0.3293  11 Au 2.83-2.93, 1 Cu 2.83
4 Au 0.3378 0.0000 0.3244  10 Au 2.79-2.92, 2 Cu 2.81
5 Au 0.6622 0.0000 0.6756  10 Au 2.79-2.92, 2 Cu 2.81
6 Au 0.3293 0.6707 0.6707  11 Au 2.83-2.93, 1 Cu 2.83
7 Au 0.6622 0.6756 0.0000  10 Au 2.79-2.92, 2 Cu 2.81
8 Au 0.3378 0.3244 0.0000  10 Au 2.79-2.92, 2 Cu 2.81
9 Cu 0.0000 0.0000 0.0000  12 Au 2.81-2.83